A plane-wave DFT calculation with PBE was carried out for LiNi2Ir after structural relaxation.

Summary:
DOS at the Fermi energy: 9.41 states/eV per cell
Calculated formation energy: 0.02 eV/atom

Cell lengths 3.6160, 3.6160, 7.2835 Å; angles 90.00, 90.00, 90.00 degrees
Last column: nearest neighbours and their distance in Å.
Space group I-4m2 (No. 119)
Symmetry-distinct sites (fractional):
Li 0.0000 0.0000 0.0000 [2 per cell]  8 Ni 2.56-2.57, 4 Ir 2.57
Ni 0.0000 0.0000 0.5000 [2 per cell]  4 Li 2.56, 4 Ni 2.57, 4 Ir 2.57
Ni 0.0000 0.5000 0.7500 [2 per cell]  4 Ir 2.56, 4 Li 2.57, 4 Ni 2.57
Ir 0.0000 0.5000 0.2500 [2 per cell]  8 Ni 2.56-2.57, 4 Li 2.57

A plane-wave DFT calculation with PBE was carried out for Li2NiIr after structural relaxation.

Summary:
Polymorph energy (0 for the lowest one): 185 meV per atom
DOS at the Fermi energy: 10.40 states/eV per cell
Calculated formation energy: 0.01 eV/atom

Cell lengths 2.6665, 2.6665, 27.1596 Å; angles 90.00, 90.00, 120.00 degrees
Last column: nearest neighbours and their distance in Å.
Space group R3m (No. 160, hexagonal axes)
Symmetry-distinct sites (fractional):
Li 0.0000 0.0000 0.0000 [3 per cell]  3 Ni 2.59, 6 Li 2.67
Li 0.0000 0.0000 0.2345 [3 per cell]  6 Li 2.67, 3 Ir 2.68
Ni 0.0000 0.0000 0.7434 [3 per cell]  3 Li 2.59, 3 Ir 2.60, 6 Ni 2.67
Ir 0.0000 0.0000 0.4872 [3 per cell]  3 Ni 2.60, 6 Ir 2.67, 3 Li 2.68

A plane-wave DFT calculation with PBE was carried out for Li2Ni3Ir2 after structural relaxation.

Summary:
DOS at the Fermi energy: 13.37 states/eV per cell
Calculated formation energy: -0.02 eV/atom

Cell lengths 8.0696, 3.6741, 5.7119 Å; angles 90.00, 96.49, 90.00 degrees
Last column: nearest neighbours and their distance in Å.
Space group C2/m (No. 12)
Symmetry-distinct sites (fractional):
Li 0.0722 0.0000 0.2391 [4 per cell]  6 Ni 2.45-2.56, 5 Ir 2.59-2.66
Ni 0.0000 0.5000 0.5000 [2 per cell]  4 Li 2.48, 6 Ni 2.54-2.58, 2 Ir 2.58
Ni 0.2130 0.0000 0.6416 [4 per cell]  4 Li 2.45-2.56, 5 Ni 2.54-2.58, 3 Ir 2.56-2.60
Ir 0.1419 0.5000 0.9273 [4 per cell]  3 Ir 2.52-2.60, 4 Ni 2.56-2.60, 5 Li 2.59-2.66

A plane-wave DFT calculation with PBE was carried out for LiNiIr after structural relaxation.

Summary:
Polymorph energy (0 for the lowest one): 227 meV per atom
DOS at the Fermi energy: 18.23 states/eV per cell
Calculated formation energy: 0.09 eV/atom

Cell lengths 2.7202, 4.4597, 13.1175 Å; angles 90.00, 90.00, 90.00 degrees
Last column: nearest neighbours and their distance in Å.
Space group Fmm2 (No. 42)
Symmetry-distinct sites (fractional):
Li 0.0000 0.0000 0.0000 [4 per cell]  2 Ni 2.55, 6 Li 2.61-2.72, 2 Ir 2.62
Ni 0.0000 0.0000 0.3355 [4 per cell]  2 Li 2.55, 2 Ir 2.55, 6 Ni 2.61-2.72
Ir 0.0000 0.0000 0.6710 [4 per cell]  2 Ni 2.55, 6 Ir 2.61-2.72, 2 Li 2.62

A plane-wave DFT calculation with PBE was carried out for Li2NiIr after structural relaxation.

Summary:
Polymorph energy (0 for the lowest one): 22 meV per atom
DOS at the Fermi energy: 2.75 states/eV per cell
Calculated formation energy: -0.15 eV/atom

Cell lengths 2.5304, 4.3333, 4.5780 Å; angles 90.00, 92.37, 90.00 degrees
Last column: nearest neighbours and their distance in Å.
Space group P2/m (No. 10)
Symmetry-distinct sites (fractional):
Li 0.2031 0.0000 0.2470 [2 per cell]  5 Li 2.45-2.71, 2 Ni 2.52, 2 Ir 2.57
Ni 0.0000 0.5000 0.5000 [1 per cell]  4 Li 2.52, 2 Ni 2.53, 4 Ir 2.57-2.66
Ir 0.5000 0.5000 0.0000 [1 per cell]  2 Ir 2.53, 4 Ni 2.57-2.66, 4 Li 2.57

A plane-wave DFT calculation with PBE was carried out for Li3NiIr after structural relaxation.

Summary:
Polymorph energy (0 for the lowest one): 569 meV per atom
DOS at the Fermi energy: 7.67 states/eV per cell
Calculated formation energy: 0.87 eV/atom

Cell lengths 4.5467, 4.5467, 4.5467 Å; angles 90.00, 90.00, 90.00 degrees
Last column: nearest neighbours and their distance in Å.
Space group Pm-3m (No. 221)
Symmetry-distinct sites (fractional):
Li 0.0000 0.0000 0.5000 [3 per cell]  2 Ir 2.27
Ni 0.5000 0.5000 0.5000 [1 per cell]  12 Li 3.22
Ir 0.0000 0.0000 0.0000 [1 per cell]  6 Li 2.27

A plane-wave DFT calculation with PBE was carried out for LiNi2Ir after structural relaxation.

Summary:
DOS at the Fermi energy: 5.30 states/eV per cell
Calculated formation energy: 0.05 eV/atom

Cell lengths 2.6447, 2.6447, 7.2259 Å; angles 90.00, 90.00, 90.00 degrees
Last column: nearest neighbours and their distance in Å.
Space group P4/mmm (No. 123)
Symmetry-distinct sites (fractional):
Li 0.0000 0.0000 0.0000 [1 per cell]  8 Ni 2.64, 4 Li 2.64
Ni 0.5000 0.5000 0.2571 [2 per cell]  4 Ir 2.56, 4 Li 2.64, 4 Ni 2.64
Ir 0.0000 0.0000 0.5000 [1 per cell]  8 Ni 2.56, 4 Ir 2.64

A plane-wave DFT calculation with PBE was carried out for Li2NiIr after structural relaxation.

Summary:
Polymorph energy (0 for the lowest one): 326 meV per atom
DOS at the Fermi energy: 4.09 states/eV per cell
Calculated formation energy: 0.15 eV/atom

Cell lengths 4.2706, 4.2706, 2.6348 Å; angles 90.00, 90.00, 90.00 degrees
Last column: nearest neighbours and their distance in Å.
Space group P4/mmm (No. 123)
Symmetry-distinct sites (fractional):
Li 0.0000 0.5000 0.0000 [2 per cell]  4 Ni 2.51, 4 Ir 2.51, 2 Li 2.63
Ni 0.0000 0.0000 0.5000 [1 per cell]  8 Li 2.51, 2 Ni 2.63
Ir 0.5000 0.5000 0.5000 [1 per cell]  8 Li 2.51, 2 Ir 2.63

A plane-wave DFT calculation with PBE was carried out for LiNi2Ir after structural relaxation.

Summary:
DOS at the Fermi energy: 8.95 states/eV per cell
Calculated formation energy: -0.12 eV/atom

Cell lengths 5.1287, 7.2891, 2.5780 Å; angles 90.00, 90.00, 90.00 degrees
Last column: nearest neighbours and their distance in Å.
Space group Cmmm (No. 65)
Symmetry-distinct sites (fractional):
Li 0.0000 0.0000 0.0000 [2 per cell]  2 Ir 2.56, 8 Ni 2.57, 2 Li 2.58
Ni 0.2500 0.2500 0.5000 [4 per cell]  4 Ni 2.56-2.58, 4 Li 2.57, 4 Ir 2.57
Ir 0.0000 0.5000 0.0000 [2 per cell]  2 Li 2.56, 8 Ni 2.57, 2 Ir 2.58

A plane-wave DFT calculation with PBE was carried out for Li6Ni2Ir after structural relaxation.

Summary:
Polymorph energy (0 for the lowest one): 0 meV per atom
DOS at the Fermi energy: 8.80 states/eV per cell
Calculated formation energy: -0.02 eV/atom

Cell lengths 7.0041, 13.4949, 2.6503 Å; angles 90.00, 98.84, 90.00 degrees
Last column: nearest neighbours and their distance in Å.
Space group C2/m (No. 12)
Symmetry-distinct sites (fractional):
Li 0.1814 0.1731 0.3413 [8 per cell]  4 Li 2.39-2.67, 2 Ni 2.54-2.62
Li 0.1860 0.0000 0.8573 [4 per cell]  2 Ir 2.52-2.57, 7 Li 2.65-2.82
Ni 0.0000 0.3410 0.0000 [4 per cell]  2 Ir 2.52, 6 Li 2.54-2.69, 2 Ni 2.65
Ir 0.0000 0.5000 0.5000 [2 per cell]  4 Ni 2.52, 4 Li 2.52-2.57, 2 Ir 2.65

A plane-wave DFT calculation with PBE was carried out for LiNi2Ir2 after structural relaxation.

Summary:
Polymorph energy (0 for the lowest one): 0 meV per atom
DOS at the Fermi energy: 13.57 states/eV per cell
Calculated formation energy: 0.08 eV/atom

Cell lengths 7.2924, 7.2924, 2.6357 Å; angles 90.00, 90.00, 90.00 degrees
Last column: nearest neighbours and their distance in Å.
Space group P4/mbm (No. 127)
Symmetry-distinct sites (fractional):
Li 0.0000 0.0000 0.0000 [2 per cell]  2 Li 2.64, 4 Ni 2.70
Ni 0.1708 0.3292 0.0000 [4 per cell]  6 Ir 2.46-2.57, 2 Ni 2.64, 2 Li 2.70
Ir 0.1281 0.6281 0.5000 [4 per cell]  6 Ni 2.46-2.57, 3 Ir 2.64

A plane-wave DFT calculation with PBE was carried out for LiNi2Ir after structural relaxation.

Summary:
DOS at the Fermi energy: 5.34 states/eV per cell
Calculated formation energy: 0.06 eV/atom

Cell lengths 2.6054, 2.6054, 7.3609 Å; angles 90.00, 90.00, 90.00 degrees
Last column: nearest neighbours and their distance in Å.
Space group P4mm (No. 99)
Symmetry-distinct sites (fractional):
Li 0.0000 0.0000 0.0000 [1 per cell]  4 Li 2.61, 4 Ni 2.66, 4 Ir 2.73
Ni 0.0000 0.0000 0.4812 [1 per cell]  8 Ni 2.46-2.61, 4 Ir 2.58
Ni 0.5000 0.5000 0.2598 [1 per cell]  8 Ni 2.46-2.61, 4 Li 2.66
Ir 0.5000 0.5000 0.7262 [1 per cell]  4 Ni 2.58, 4 Ir 2.61, 4 Li 2.73

A plane-wave DFT calculation with PBE was carried out for LiNi14Ir after structural relaxation.

Summary:
DOS at the Fermi energy: 51.39 states/eV per cell
Calculated formation energy: 0.01 eV/atom

Cell lengths 8.2079, 5.0038, 8.6987 Å; angles 90.00, 90.00, 90.00 degrees
Last column: nearest neighbours and their distance in Å.
Space group Amm2 (No. 38)
Symmetry-distinct sites (fractional):
Li 0.0000 0.0000 0.0000 [2 per cell]  2 Ir 2.50, 10 Ni 2.50-2.53
Ni 0.0000 0.2491 0.7504 [4 per cell]  8 Ni 2.49-2.53, 2 Li 2.50-2.51, 2 Ir 2.51
Ni 0.2505 0.0000 0.6680 [4 per cell]  11 Ni 2.50-2.52, 1 Ir 2.52
Ni 0.2524 0.0000 0.1679 [4 per cell]  11 Ni 2.49-2.53, 1 Li 2.53
Ni 0.2534 0.2494 0.9166 [8 per cell]  10 Ni 2.49-2.53, 1 Li 2.53, 1 Ir 2.53
Ni 0.5000 0.0000 0.3332 [2 per cell]  12 Ni 2.49-2.51
Ni 0.5000 0.0000 0.8331 [2 per cell]  12 Ni 2.49-2.51
Ni 0.5000 0.2502 0.0836 [4 per cell]  12 Ni 2.49-2.51
Ir 0.0000 0.0000 0.4999 [2 per cell]  2 Li 2.50, 10 Ni 2.51-2.53

A plane-wave DFT calculation with PBE was carried out for LiNi2Ir after structural relaxation.

Summary:
DOS at the Fermi energy: 12.40 states/eV per cell
Calculated formation energy: 0.07 eV/atom

Cell lengths 5.7488, 5.7488, 5.7488 Å; angles 90.00, 90.00, 90.00 degrees
Last column: nearest neighbours and their distance in Å.
Space group F-43m (No. 216)
Symmetry-distinct sites (fractional):
Li 0.0000 0.0000 0.0000 [4 per cell]  4 Ni 2.49, 4 Ir 2.49
Ni 0.0000 0.0000 0.5000 [4 per cell]  4 Ni 2.49, 4 Ir 2.49
Ni 0.2500 0.2500 0.7500 [4 per cell]  4 Li 2.49, 4 Ni 2.49
Ir 0.2500 0.2500 0.2500 [4 per cell]  4 Li 2.49, 4 Ni 2.49

A plane-wave DFT calculation with PBE was carried out for LiNiIr4 after structural relaxation.

Summary:
DOS at the Fermi energy: 39.33 states/eV per cell
Calculated formation energy: 0.43 eV/atom

Cell lengths 7.2744, 7.2744, 7.2744 Å; angles 90.00, 90.00, 90.00 degrees
Last column: nearest neighbours and their distance in Å.
Space group F-43m (No. 216)
Symmetry-distinct sites (fractional):
Li 0.0000 0.0000 0.0000 [4 per cell]  12 Ir 3.02, 4 Ni 3.15
Ni 0.2500 0.2500 0.7500 [4 per cell]  12 Ir 3.02, 4 Li 3.15
Ir 0.1249 0.1249 0.3751 [16 per cell]  6 Ir 2.57

A plane-wave DFT calculation with PBE was carried out for LiNiIr after structural relaxation.

Summary:
Polymorph energy (0 for the lowest one): 164 meV per atom
DOS at the Fermi energy: 6.27 states/eV per cell
Calculated formation energy: 0.03 eV/atom

Cell lengths 2.6165, 2.6165, 11.5943 Å; angles 90.00, 90.00, 90.00 degrees
Last column: nearest neighbours and their distance in Å.
Space group I4mm (No. 107)
Symmetry-distinct sites (fractional):
Li 0.0000 0.0000 0.0000 [2 per cell]  4 Li 2.62, 4 Ni 2.73, 4 Ir 2.76
Ni 0.0000 0.0000 0.6732 [2 per cell]  4 Ir 2.54, 4 Ni 2.62, 4 Li 2.73
Ir 0.0000 0.0000 0.3236 [2 per cell]  4 Ni 2.54, 4 Ir 2.62, 4 Li 2.76

A plane-wave DFT calculation with PBE was carried out for LiNi2Ir after structural relaxation.

Summary:
DOS at the Fermi energy: 28.93 states/eV per cell
Calculated formation energy: 0.40 eV/atom

Cell lengths 3.4446, 3.4446, 16.9522 Å; angles 90.00, 90.00, 90.00 degrees
Last column: nearest neighbours and their distance in Å.
Space group I-42d (No. 122)
Symmetry-distinct sites (fractional):
Li 0.0000 0.0000 0.0000 [4 per cell]  4 Ir 2.44, 4 Ni 2.44
Ni 0.2478 0.2500 0.1250 [8 per cell]  4 Ni 2.43-2.45, 2 Li 2.44, 2 Ir 2.45
Ir 0.0000 0.0000 0.5000 [4 per cell]  4 Li 2.44, 4 Ni 2.45

A plane-wave DFT calculation with PBE was carried out for LiNi4Ir after structural relaxation.

Summary:
Polymorph energy (0 for the lowest one): 126 meV per atom
DOS at the Fermi energy: 31.44 states/eV per cell
Calculated formation energy: 0.09 eV/atom

Cell lengths 6.6223, 6.6223, 6.6223 Å; angles 90.00, 90.00, 90.00 degrees
Last column: nearest neighbours and their distance in Å.
Space group F-43m (No. 216)
Symmetry-distinct sites (fractional):
Li 0.0000 0.0000 0.0000 [4 per cell]  12 Ni 2.75, 4 Ir 2.87
Ni 0.1252 0.1252 0.6252 [16 per cell]  6 Ni 2.34
Ir 0.2500 0.2500 0.2500 [4 per cell]  12 Ni 2.75, 4 Li 2.87

A plane-wave DFT calculation with PBE was carried out for LiNi2Ir after structural relaxation.

Summary:
DOS at the Fermi energy: 5.57 states/eV per cell
Calculated formation energy: -0.09 eV/atom

Cell lengths 2.5954, 4.2124, 4.4244 Å; angles 90.00, 90.00, 90.00 degrees
Last column: nearest neighbours and their distance in Å.
Space group Pmm2 (No. 25)
Symmetry-distinct sites (fractional):
Li 0.0000 0.0000 0.0000 [1 per cell]  8 Ni 2.54-2.59, 2 Li 2.60, 2 Ir 2.67
Ni 0.5000 0.0000 0.5057 [1 per cell]  4 Li 2.54-2.59, 4 Ir 2.54, 4 Ni 2.60-2.65
Ni 0.5000 0.5000 0.8692 [1 per cell]  4 Li 2.54, 4 Ir 2.56-2.57, 4 Ni 2.60-2.65
Ir 0.0000 0.5000 0.3715 [1 per cell]  8 Ni 2.54-2.57, 2 Ir 2.60, 2 Li 2.67

A plane-wave DFT calculation with PBE was carried out for LiNi2Ir after structural relaxation.

Summary:
DOS at the Fermi energy: 9.81 states/eV per cell
Calculated formation energy: 0.00 eV/atom

Cell lengths 3.6509, 3.6509, 7.1067 Å; angles 90.00, 90.00, 90.00 degrees
Last column: nearest neighbours and their distance in Å.
Space group I4/mmm (No. 139)
Symmetry-distinct sites (fractional):
Li 0.0000 0.0000 0.0000 [2 per cell]  8 Ni 2.55, 4 Ir 2.58
Ni 0.0000 0.5000 0.2500 [4 per cell]  4 Li 2.55, 4 Ir 2.55, 4 Ni 2.58
Ir 0.0000 0.0000 0.5000 [2 per cell]  8 Ni 2.55, 4 Li 2.58